1.
DFT (PBE-GGA) results for an optimized crystal structure of Pm2CdP3Rh4.

Unit cell a=4.032 b=4.032 c=10.800 alpha=90.00 beta=90.00 gamma=90.00
Space group P-4m2 (No. 115)
One atom of each set of equivalent atoms:
Pm1 0.000 0.500 0.241 [2 per cell]
Cd1 0.000 0.000 0.500 [1 per cell]
P1 0.000 0.500 0.874 [2 per cell]
P2 0.500 0.500 0.500 [1 per cell]
Rh1 0.000 0.000 0.000 [1 per cell]
Rh2 0.000 0.500 0.665 [2 per cell]
Rh3 0.500 0.500 0.000 [1 per cell]

The size of the total moment is 0.00 Bohr magnetons per cell. The volume is 176 Å³/f.u. The total energy is -6.51 eV/atom. The formation energy comes out at -0.901 eV per atom.



2.
DFT (PBE-GGA) results for an optimized crystal structure of CaMgBr2.

Unit cell a=3.974 b=4.514 c=6.448 alpha=90.00 beta=90.00 gamma=90.00
Space group Pmmm (No. 47)
One atom of each set of equivalent atoms:
Ca1 0.000 0.000 0.000 [1 per cell]
Mg1 0.500 0.000 0.500 [1 per cell]
Br1 0.000 0.500 0.500 [1 per cell]
Br2 0.500 0.500 0.000 [1 per cell]

The size of the total moment is 0.00 Bohr magnetons per cell. As for the energy above the most stable polymorph in this dataset: 0.312 eV/atom. The volume is 116 Å³/f.u. The total energy is -2.66 eV/atom. For the uncorrected formation energy, the calculation gives -357 kJ/mol of formula units.



3.
DFT (PBE-GGA) results for an optimized crystal structure of PrGdDyTh.

Unit cell a=8.104 b=8.104 c=8.104 alpha=90.00 beta=90.00 gamma=90.00
Space group F-43m (No. 216)
One atom of each set of equivalent atoms:
Pr1 0.000 0.000 0.000 [4 per cell]
Gd1 0.000 0.000 0.500 [4 per cell]
Dy1 0.250 0.250 0.250 [4 per cell]
Th1 0.250 0.250 0.750 [4 per cell]

The size of the total moment is 34.62 Bohr magnetons per cell. The volume is 133 Å³/f.u. The total energy is -7.53 eV/atom. The formation energy comes out at 0.188 eV per atom.



4.
DFT (PBE-GGA) results for an optimized crystal structure of MgCdCo2Ag.

Unit cell a=4.750 b=4.750 c=5.018 alpha=90.00 beta=90.00 gamma=90.00
Space group P4/mmm (No. 123)
One atom of each set of equivalent atoms:
Mg1 0.000 0.000 0.000 [1 per cell]
Cd1 0.000 0.000 0.500 [1 per cell]
Co1 0.000 0.500 0.500 [2 per cell]
Ag1 0.500 0.500 0.000 [1 per cell]

The size of the total moment is 3.15 Bohr magnetons per cell. The volume is 113 Å³/f.u. The total energy is -2.65 eV/atom. The formation energy comes out at 1.262 eV per atom.



5.
DFT (PBE-GGA) results for an optimized crystal structure of BaTa2Pt.

Unit cell a=3.215 b=3.359 c=8.719 alpha=90.00 beta=90.00 gamma=90.00
Space group Pmm2 (No. 25)
One atom of each set of equivalent atoms:
Ba1 0.000 0.000 0.000 [1 per cell]
Ta1 0.000 0.000 0.457 [1 per cell]
Ta2 0.500 0.500 0.654 [1 per cell]
Pt1 0.500 0.500 0.297 [1 per cell]

The size of the total moment is 0.00 Bohr magnetons per cell. As for the energy above the most stable polymorph in this dataset: 0.000 eV/atom. The volume is 94 Å³/f.u. The total energy is -7.79 eV/atom. The formation energy comes out at 0.132 eV per atom.



6.
DFT (PBE-GGA) results for an optimized crystal structure of LaPtSN2.

Unit cell a=3.991 b=3.991 c=6.236 alpha=90.00 beta=90.00 gamma=90.00
Space group P4/mmm (No. 123)
One atom of each set of equivalent atoms:
La1 0.000 0.000 0.000 [1 per cell]
Pt1 0.500 0.500 0.500 [1 per cell]
S1 0.000 0.000 0.500 [1 per cell]
N1 0.000 0.500 0.000 [2 per cell]

The size of the total moment is 0.01 Bohr magnetons per cell. As for the energy above the most stable polymorph in this dataset: 1.166 eV/atom. The volume is 99 Å³/f.u. The total energy is -5.11 eV/atom. For the uncorrected formation energy, the calculation gives 596 kJ/mol of formula units.



7.
DFT (PBE-GGA) results for an optimized crystal structure of CaDyPtAu.

Unit cell a=7.082 b=7.082 c=7.082 alpha=90.00 beta=90.00 gamma=90.00
Space group F-43m (No. 216)
One atom of each set of equivalent atoms:
Ca1 0.000 0.000 0.000 [4 per cell]
Dy1 0.000 0.000 0.500 [4 per cell]
Pt1 0.250 0.250 0.250 [4 per cell]
Au1 0.250 0.250 0.750 [4 per cell]

The size of the total moment is 0.00 Bohr magnetons per cell. As for the energy above the most stable polymorph in this dataset: 0.031 eV/atom. The volume is 89 Å³/f.u. The total energy is -4.92 eV/atom. The formation energy comes out at -0.943 eV per atom.



8.
DFT (PBE-GGA) results for an optimized crystal structure of Be2PPb.

Unit cell a=3.539 b=4.567 c=4.571 alpha=90.00 beta=90.00 gamma=90.00
Space group Pmmm (No. 47)
One atom of each set of equivalent atoms:
Be1 0.000 0.000 0.235 [2 per cell]
P1 0.500 0.000 0.500 [1 per cell]
Pb1 0.500 0.500 0.000 [1 per cell]

The size of the total moment is 0.00 Bohr magnetons per cell. As for the energy above the most stable polymorph in this dataset: 0.079 eV/atom. The volume is 74 Å³/f.u. The total energy is -3.92 eV/atom. The formation energy comes out at 0.225 eV per atom.



9.
DFT (PBE-GGA) results for an optimized crystal structure of Ce3Si6Pd20.

Unit cell a=5.716 b=7.675 c=11.253 alpha=95.45 beta=100.62 gamma=91.75
Space group P-1 (No. 2)
One atom of each set of equivalent atoms:
Ce1 0.000 0.000 0.000 [1 per cell]
Ce2 0.349 0.395 0.761 [2 per cell]
Si1 0.118 0.376 0.219 [2 per cell]
Si2 0.257 0.944 0.608 [2 per cell]
Si3 0.348 0.916 0.297 [2 per cell]
Pd1 0.004 0.918 0.751 [2 per cell]
Pd2 0.050 0.827 0.408 [2 per cell]
Pd3 0.114 0.624 0.603 [2 per cell]
Pd4 0.119 0.681 0.166 [2 per cell]
Pd5 0.239 0.691 0.929 [2 per cell]
Pd6 0.272 0.376 0.032 [2 per cell]
Pd7 0.336 0.521 0.400 [2 per cell]
Pd8 0.403 0.169 0.496 [2 per cell]
Pd9 0.452 0.096 0.893 [2 per cell]
Pd10 0.473 0.208 0.240 [2 per cell]

The size of the total moment is 1.45 Bohr magnetons per cell. As for the energy above the most stable polymorph in this dataset: 0.168 eV/atom. The volume is 482 Å³/f.u. The total energy is -5.92 eV/atom. For the uncorrected formation energy, the calculation gives -1696 kJ/mol of formula units.



10.
DFT (PBE-GGA) results for an optimized crystal structure of LiNd2Ge.

Unit cell a=6.427 b=4.536 c=7.385 alpha=90.00 beta=107.48 gamma=90.00
Space group P2_1/m (No. 11)
One atom of each set of equivalent atoms:
Li1 0.099 0.250 0.200 [2 per cell]
Nd1 0.261 0.750 0.567 [2 per cell]
Nd2 0.357 0.750 0.103 [2 per cell]
Ge1 0.131 0.250 0.808 [2 per cell]

The size of the total moment is 0.00 Bohr magnetons per cell. The volume is 103 Å³/f.u. The total energy is -4.46 eV/atom. The formation energy comes out at -0.439 eV per atom.



11.
DFT (PBE-GGA) results for an optimized crystal structure of TiAuBr6.

Unit cell a=5.971 b=7.067 c=7.854 alpha=115.14 beta=111.62 gamma=90.78
Space group P-1 (No. 2)
One atom of each set of equivalent atoms:
Ti1 0.000 0.000 0.000 [1 per cell]
Au1 0.500 0.500 0.000 [1 per cell]
Br1 0.153 0.659 0.823 [2 per cell]
Br2 0.160 0.162 0.815 [2 per cell]
Br3 0.374 0.154 0.313 [2 per cell]

The size of the total moment is 0.00 Bohr magnetons per cell. The volume is 273 Å³/f.u. The total energy is -3.34 eV/atom. For the uncorrected formation energy, the calculation gives -529 kJ/mol of formula units.



12.
DFT (PBE-GGA) results for an optimized crystal structure of Th6CoPt2S3.

Unit cell a=18.254 b=4.069 c=8.481 alpha=90.00 beta=106.38 gamma=90.00
Space group C2/m (No. 12)
One atom of each set of equivalent atoms:
Th1 0.001 0.000 0.232 [4 per cell]
Th2 0.157 0.500 0.084 [4 per cell]
Th3 0.166 0.500 0.586 [4 per cell]
Co1 0.000 0.500 0.000 [2 per cell]
Pt1 0.167 0.000 0.338 [4 per cell]
S1 0.000 0.500 0.500 [2 per cell]
S2 0.169 0.000 0.838 [4 per cell]

The size of the total moment is 0.00 Bohr magnetons per cell. The volume is 302 Å³/f.u. The total energy is -7.63 eV/atom. For the uncorrected formation energy, the calculation gives -1489 kJ/mol of formula units.